# Ba2Na3Cd2

An optimized crystal structure of Ba2Na3Cd2 (PBE, Alexandria).

CIF file:
```
data_Ba2Na3Cd2
_symmetry_space_group_name_H-M 'C m m m'
_symmetry_Int_Tables_number 65
_symmetry_space_group_name_Hall '-C 2 2'
_cell_length_a 5.087
_cell_length_b 24.901
_cell_length_c 4.499
_cell_angle_alpha 90.00
_cell_angle_beta 90.00
_cell_angle_gamma 90.00
loop_
_atom_site_label
_atom_site_type_symbol
_atom_site_fract_x
_atom_site_fract_y
_atom_site_fract_z
_atom_site_occupancy
Ba1 Ba 0.000 0.168 0.000 1
Na1 Na 0.000 0.000 0.000 1
Na2 Na 0.000 0.426 0.500 1
Cd1 Cd 0.000 0.285 0.500 1
```

## Properties
The calculation puts the volume at 40.71 Å³ per atom. The calculation puts the density of states at the Fermi level at 0.841 states/eV per atom. The formation energy comes out at -0.15 eV/atom. The density comes out at 3.31 g cm⁻³. Its raw total energy is -0.0560 hartree per atom. The magnetization comes out at 0.00 Bohr magnetons per cell.

=====

# TlHgSb3

An optimized crystal structure of TlHgSb3 (PBE, Alexandria).

CIF file:
```
data_TlHgSb3
_symmetry_space_group_name_H-M 'P m -3 m'
_symmetry_Int_Tables_number 221
_symmetry_space_group_name_Hall '-P 4 2 3'
_cell_length_a 5.651
_cell_length_b 5.651
_cell_length_c 5.651
_cell_angle_alpha 90.00
_cell_angle_beta 90.00
_cell_angle_gamma 90.00
loop_
_atom_site_label
_atom_site_type_symbol
_atom_site_fract_x
_atom_site_fract_y
_atom_site_fract_z
_atom_site_occupancy
Tl1 Tl 0.000 0.000 0.000 1
Hg1 Hg 0.500 0.500 0.500 1
Sb1 Sb 0.000 0.500 0.500 1
```

## Properties
The calculation puts the volume at 36.09 Å³ per atom. The calculation puts the density of states at the Fermi level at 0.931 states/eV per atom. The energy above the lowest structure with this stoichiometry comes out at 0 meV per atom. The density comes out at 7.09 g cm⁻³. Its raw total energy is -0.0882 hartree per atom. For the formation energy from raw total energies, the calculation gives 0.6076 eV/atom. The magnetization comes out at 0.00 Bohr magnetons per cell.

=====

# NaSc2F7

An optimized crystal structure of NaSc2F7 (PBE, Alexandria).

CIF file:
```
data_NaSc2F7
_symmetry_space_group_name_H-M 'C m m m'
_symmetry_Int_Tables_number 65
_symmetry_space_group_name_Hall '-C 2 2'
_cell_length_a 6.596
_cell_length_b 10.530
_cell_length_c 4.043
_cell_angle_alpha 90.00
_cell_angle_beta 90.00
_cell_angle_gamma 90.00
loop_
_atom_site_label
_atom_site_type_symbol
_atom_site_fract_x
_atom_site_fract_y
_atom_site_fract_z
_atom_site_occupancy
Na1 Na 0.000 0.000 0.000 1
Sc1 Sc 0.000 0.305 0.500 1
F1 F 0.000 0.294 0.000 1
F2 F 0.000 0.500 0.500 1
F3 F 0.188 0.141 0.500 1
```

## Properties
The calculation puts the volume at 14.04 Å³ per atom. The calculation puts the density of states at the Fermi level at 0.000 states/eV per atom. The density comes out at 2.91 g cm⁻³. Its raw total energy is -0.2353 hartree per atom. For the formation energy from raw total energies, the calculation gives -3.6939 eV/atom. The magnetization comes out at 0.04 Bohr magnetons per cell.

=====

# MgScNb2Se

An optimized crystal structure of MgScNb2Se (PBE, Alexandria).

CIF file:
```
data_MgScNb2Se
_symmetry_space_group_name_H-M 'P 4/m m m'
_symmetry_Int_Tables_number 123
_symmetry_space_group_name_Hall '-P 4 2'
_cell_length_a 4.808
_cell_length_b 4.808
_cell_length_c 4.984
_cell_angle_alpha 90.00
_cell_angle_beta 90.00
_cell_angle_gamma 90.00
loop_
_atom_site_label
_atom_site_type_symbol
_atom_site_fract_x
_atom_site_fract_y
_atom_site_fract_z
_atom_site_occupancy
Mg1 Mg 0.000 0.000 0.000 1
Sc1 Sc 0.500 0.500 0.000 1
Nb1 Nb 0.000 0.500 0.500 1
Se1 Se 0.500 0.500 0.500 1
```

## Properties
The calculation puts the volume at 23.04 Å³ per atom. The calculation puts the density of states at the Fermi level at 1.303 states/eV per atom. The density comes out at 4.81 g cm⁻³. Its raw total energy is -0.2233 hartree per atom. For the formation energy from raw total energies, the calculation gives 0.2343 eV/atom. The magnetization comes out at 0.00 Bohr magnetons per cell.

=====

# LiBI

An optimized crystal structure of LiBI (PBE, Alexandria).

CIF file:
```
data_LiBI
_symmetry_space_group_name_H-M 'C m c e'
_symmetry_Int_Tables_number 64
_symmetry_space_group_name_Hall '-C 2ac 2'
_cell_length_a 7.424
_cell_length_b 9.443
_cell_length_c 7.427
_cell_angle_alpha 90.00
_cell_angle_beta 90.00
_cell_angle_gamma 90.00
loop_
_atom_site_label
_atom_site_type_symbol
_atom_site_fract_x
_atom_site_fract_y
_atom_site_fract_z
_atom_site_occupancy
Li1 Li 0.250 0.005 0.250 1
B1 B 0.000 0.077 0.508 1
I1 I 0.000 0.198 0.010 1
```

## Properties
The calculation puts the volume at 21.70 Å³ per atom. The density comes out at 3.69 g cm⁻³. Its raw total energy is -0.1199 hartree per atom. For the formation energy from raw total energies, the calculation gives 0.1176 eV/atom. The magnetization comes out at 0.00 Bohr magnetons per cell.

=====

# Ge2TeMoPd

An optimized crystal structure of Ge2TeMoPd (PBE, Alexandria).

CIF file:
```
data_Ge2TeMoPd
_symmetry_space_group_name_H-M 'P 4/m m m'
_symmetry_Int_Tables_number 123
_symmetry_space_group_name_Hall '-P 4 2'
_cell_length_a 4.715
_cell_length_b 4.715
_cell_length_c 5.596
_cell_angle_alpha 90.00
_cell_angle_beta 90.00
_cell_angle_gamma 90.00
loop_
_atom_site_label
_atom_site_type_symbol
_atom_site_fract_x
_atom_site_fract_y
_atom_site_fract_z
_atom_site_occupancy
Ge1 Ge 0.000 0.500 0.000 1
Te1 Te 0.000 0.000 0.500 1
Mo1 Mo 0.500 0.500 0.500 1
Pd1 Pd 0.000 0.000 0.000 1
```

## Properties
The calculation puts the volume at 24.88 Å³ per atom. The calculation puts the density of states at the Fermi level at 0.452 states/eV per atom. The density comes out at 6.34 g cm⁻³. Its raw total energy is -0.1775 hartree per atom. For the formation energy from raw total energies, the calculation gives 0.8496 eV/atom. The magnetization comes out at 3.99 Bohr magnetons per cell.

=====

# Ca2MgCl

An optimized crystal structure of Ca2MgCl (PBE, Alexandria).

CIF file:
```
data_Ca2MgCl
_symmetry_space_group_name_H-M 'I -4 2 d'
_symmetry_Int_Tables_number 122
_symmetry_space_group_name_Hall 'I -4 2bw'
_cell_length_a 8.159
_cell_length_b 8.159
_cell_length_c 8.061
_cell_angle_alpha 90.00
_cell_angle_beta 90.00
_cell_angle_gamma 90.00
loop_
_atom_site_label
_atom_site_type_symbol
_atom_site_fract_x
_atom_site_fract_y
_atom_site_fract_z
_atom_site_occupancy
Ca1 Ca 0.199 0.250 0.125 1
Mg1 Mg 0.000 0.000 0.500 1
Cl1 Cl 0.000 0.000 0.000 1
```

## Properties
The calculation puts the volume at 33.54 Å³ per atom. The calculation puts the density of states at the Fermi level at 0.538 states/eV per atom. The energy above the lowest structure with this stoichiometry comes out at 191 meV per atom. The density comes out at 1.73 g cm⁻³. Its raw total energy is -0.0911 hartree per atom. For the formation energy from raw total energies, the calculation gives -0.6191 eV/atom. The magnetization comes out at 0.00 Bohr magnetons per cell.

=====

# Cs4SrNp3O12

An optimized crystal structure of Cs4SrNp3O12 (PBE, Alexandria).

CIF file:
```
data_Cs4SrNp3O12
_symmetry_space_group_name_H-M 'I m -3 m'
_symmetry_Int_Tables_number 229
_symmetry_space_group_name_Hall '-I 4 2 3'
_cell_length_a 8.932
_cell_length_b 8.932
_cell_length_c 8.932
_cell_angle_alpha 90.00
_cell_angle_beta 90.00
_cell_angle_gamma 90.00
loop_
_atom_site_label
_atom_site_type_symbol
_atom_site_fract_x
_atom_site_fract_y
_atom_site_fract_z
_atom_site_occupancy
Cs1 Cs 0.250 0.250 0.250 1
Sr1 Sr 0.000 0.000 0.000 1
Np1 Np 0.000 0.000 0.500 1
O1 O 0.000 0.000 0.284 1
O2 O 0.000 0.250 0.500 1
```

## Properties
The calculation puts the volume at 17.82 Å³ per atom. The calculation puts the density of states at the Fermi level at 0.244 states/eV per atom. The density comes out at 7.09 g cm⁻³. Its raw total energy is -0.2847 hartree per atom. For the formation energy from raw total energies, the calculation gives -2.5767 eV/atom. The magnetization comes out at 6.00 Bohr magnetons per cell.

=====

# BeCuAs

An optimized crystal structure of BeCuAs (PBE, Alexandria).

CIF file:
```
data_BeCuAs
_symmetry_space_group_name_H-M 'P -1'
_symmetry_Int_Tables_number 2
_symmetry_space_group_name_Hall '-P 1'
_cell_length_a 4.025
_cell_length_b 4.032
_cell_length_c 6.483
_cell_angle_alpha 75.01
_cell_angle_beta 74.98
_cell_angle_gamma 61.24
loop_
_atom_site_label
_atom_site_type_symbol
_atom_site_fract_x
_atom_site_fract_y
_atom_site_fract_z
_atom_site_occupancy
Be1 Be 0.067 0.065 0.144 1
Cu1 Cu 0.195 0.195 0.433 1
As1 As 0.284 0.284 0.785 1
```

## Properties
The calculation puts the volume at 14.66 Å³ per atom. The calculation puts the density of states at the Fermi level at 0.098 states/eV per atom. The formation energy comes out at 0.01 eV/atom. The density comes out at 5.57 g cm⁻³. Its raw total energy is -0.1525 hartree per atom. The magnetization comes out at 0.00 Bohr magnetons per cell.

=====

# LiTlHg2Bi

An optimized crystal structure of LiTlHg2Bi (PBE, Alexandria).

CIF file:
```
data_LiTlHg2Bi
_symmetry_space_group_name_H-M 'P 4/m m m'
_symmetry_Int_Tables_number 123
_symmetry_space_group_name_Hall '-P 4 2'
_cell_length_a 5.166
_cell_length_b 5.166
_cell_length_c 5.333
_cell_angle_alpha 90.00
_cell_angle_beta 90.00
_cell_angle_gamma 90.00
loop_
_atom_site_label
_atom_site_type_symbol
_atom_site_fract_x
_atom_site_fract_y
_atom_site_fract_z
_atom_site_occupancy
Li1 Li 0.000 0.000 0.000 1
Tl1 Tl 0.500 0.500 0.500 1
Hg1 Hg 0.000 0.500 0.000 1
Bi1 Bi 0.000 0.000 0.500 1
```

## Properties
The calculation puts the volume at 28.46 Å³ per atom. The calculation puts the density of states at the Fermi level at 0.570 states/eV per atom. The energy above the lowest structure with this stoichiometry comes out at 92 meV per atom. The formation energy comes out at 0.01 eV/atom. The density comes out at 9.59 g cm⁻³. Its raw total energy is -0.0642 hartree per atom. The magnetization comes out at 0.00 Bohr magnetons per cell.

=====

# Mg8GePt2

An optimized crystal structure of Mg8GePt2 (PBE, Alexandria).

CIF file:
```
data_Mg8GePt2
_symmetry_space_group_name_H-M 'C 1 2/m 1'
_symmetry_Int_Tables_number 12
_symmetry_space_group_name_Hall '-C 2y'
_cell_length_a 15.919
_cell_length_b 4.479
_cell_length_c 6.509
_cell_angle_alpha 90.00
_cell_angle_beta 112.07
_cell_angle_gamma 90.00
loop_
_atom_site_label
_atom_site_type_symbol
_atom_site_fract_x
_atom_site_fract_y
_atom_site_fract_z
_atom_site_occupancy
Mg1 Mg 0.024 0.000 0.263 1
Mg2 Mg 0.105 0.500 0.950 1
Mg3 Mg 0.172 0.500 0.446 1
Mg4 Mg 0.201 0.000 0.795 1
Ge1 Ge 0.000 0.500 0.500 1
Pt1 Pt 0.176 0.000 0.179 1
```

## Properties
The calculation puts the volume at 19.55 Å³ per atom. The calculation puts the density of states at the Fermi level at 0.384 states/eV per atom. The energy above the lowest structure with this stoichiometry comes out at 0 meV per atom. The formation energy comes out at -0.47 eV/atom. The density comes out at 5.08 g cm⁻³. Its raw total energy is -0.1158 hartree per atom. The magnetization comes out at 0.00 Bohr magnetons per cell.

=====

# Pm6PrHo

An optimized crystal structure of Pm6PrHo (PBE, Alexandria).

CIF file:
```
data_Pm6PrHo
_symmetry_space_group_name_H-M 'P 4/m m m'
_symmetry_Int_Tables_number 123
_symmetry_space_group_name_Hall '-P 4 2'
_cell_length_a 5.148
_cell_length_b 5.148
_cell_length_c 10.294
_cell_angle_alpha 90.00
_cell_angle_beta 90.00
_cell_angle_gamma 90.00
loop_
_atom_site_label
_atom_site_type_symbol
_atom_site_fract_x
_atom_site_fract_y
_atom_site_fract_z
_atom_site_occupancy
Pm1 Pm 0.000 0.000 0.000 1
Pm2 Pm 0.000 0.000 0.500 1
Pm3 Pm 0.000 0.500 0.247 1
Pr1 Pr 0.500 0.500 0.500 1
Ho1 Ho 0.500 0.500 0.000 1
```

## Properties
The calculation puts the volume at 34.11 Å³ per atom. The calculation puts the density of states at the Fermi level at 1.682 states/eV per atom. The formation energy comes out at 0.02 eV/atom. The density comes out at 7.16 g cm⁻³. Its raw total energy is -0.1733 hartree per atom. The magnetization comes out at 0.00 Bohr magnetons per cell.

=====

- Among the records above, which one has the lowest density?
  Ca2MgCl